# Pm6InGe2Br3

A geometry-optimized Pm6InGe2Br3 structure (GGA-PBE, the Alexandria database).

POSCAR file:
```
Pm6InGe2Br3
1.0
9.541 -2.137 0.000
9.541 2.137 0.000
-1.959 0.000 8.626
Pm In Ge Br
6 1 2 3
direct
0.010 0.010 0.255 Pm
0.324 0.324 0.431 Pm
0.335 0.335 0.885 Pm
0.665 0.665 0.115 Pm
0.676 0.676 0.569 Pm
0.990 0.990 0.745 Pm
0.500 0.500 0.000 In
0.167 0.167 0.339 Ge
0.833 0.833 0.661 Ge
0.168 0.168 0.835 Br
0.500 0.500 0.500 Br
0.832 0.832 0.165 Br
```

Results
Formation energy from raw total energies (eV/atom): -1.005
Magnetization (μB per cell): 0.0
Density (g/cm3): 6.47
Energy (eV/atom): -4.796


# AlCo2MoPb

A geometry-optimized AlCo2MoPb structure (GGA-PBE, the Alexandria database).

POSCAR file:
```
AlCo2MoPb
1.0
4.525 0.000 0.000
0.000 4.525 0.000
0.000 0.000 4.923
Al Co Mo Pb
1 2 1 1
direct
0.000 0.000 0.000 Al
0.000 0.500 0.500 Co
0.500 0.000 0.500 Co
0.000 0.000 0.500 Mo
0.500 0.500 0.000 Pb
```

Results
Magnetization (μB per cell): 0.8
Density (g/cm3): 7.38
Energy (eV/atom): -5.455
Energy relative to the elements (meV per atom): 1044


# KBa2CuH6

A geometry-optimized KBa2CuH6 structure (GGA-PBE, the Alexandria database).

POSCAR file:
```
KBa2CuH6
1.0
5.422 0.000 0.000
2.525 4.838 0.000
1.943 1.897 7.389
K Ba Cu H
1 2 1 6
direct
0.000 0.000 0.000 K
0.128 0.265 0.354 Ba
0.375 0.498 0.667 Ba
0.718 0.893 0.570 Cu
0.177 0.414 0.006 H
0.318 0.717 0.308 H
0.388 0.989 0.669 H
0.693 0.076 0.359 H
0.868 0.541 0.619 H
0.880 0.003 0.662 H
```

Results
Magnetization (μB per cell): 0.0
Density (g/cm3): 3.28
Energy (eV/atom): -3.231


# Tm8Tl2Hg

A geometry-optimized Tm8Tl2Hg structure (GGA-PBE, the Alexandria database).

POSCAR file:
```
Tm8Tl2Hg
1.0
8.834 -2.560 0.000
8.834 2.560 0.000
-1.152 0.000 6.891
Tm Tl Hg
8 2 1
direct
0.028 0.028 0.246 Tm
0.182 0.182 0.775 Tm
0.338 0.338 0.558 Tm
0.410 0.410 0.055 Tm
0.590 0.590 0.945 Tm
0.662 0.662 0.442 Tm
0.818 0.818 0.225 Tm
0.972 0.972 0.754 Tm
0.206 0.206 0.219 Tl
0.794 0.794 0.781 Tl
0.500 0.500 0.500 Hg
```

Results
Magnetization (μB per cell): 0.0
Density (g/cm3): 10.45
Energy (eV/atom): -3.868
Energy relative to the elements (meV per atom): -158


# B2PtPb

A geometry-optimized B2PtPb structure (GGA-PBE, the Alexandria database).

POSCAR file:
```
B2PtPb
1.0
-2.568 2.568 5.388
2.568 -2.568 5.388
2.568 2.568 -5.388
B Pt Pb
4 2 2
direct
0.036 0.625 0.911 B
0.375 0.286 0.411 B
0.714 0.125 0.089 B
0.875 0.964 0.589 B
0.000 0.000 0.000 Pt
0.750 0.250 0.500 Pt
0.250 0.750 0.500 Pb
0.500 0.500 0.000 Pb
```

Results
Magnetization (μB per cell): 0.0
Density (g/cm3): 9.90
Energy (eV/atom): -5.235
Energy relative to the elements (meV per atom): 541


# Ba2HfAl

A geometry-optimized Ba2HfAl structure (GGA-PBE, the Alexandria database).

POSCAR file:
```
Ba2HfAl
1.0
0.000 4.087 4.087
4.087 0.000 4.087
4.087 4.087 0.000
Ba Hf Al
2 1 1
direct
0.250 0.250 0.250 Ba
0.750 0.750 0.750 Ba
0.000 0.000 0.000 Hf
0.500 0.500 0.500 Al
```

Results
Magnetization (μB per cell): 0.7
ΔE to the lowest computed polymorph (meV per atom): 0
Density (g/cm3): 5.84
Energy (eV/atom): -3.775
Energy relative to the elements (meV per atom): 610